1.
Below is IrOsNO after structural relaxation, with properties calculated at the GGA-PBE level.

a = 2.7600 Å, b = 6.3000 Å, c = 5.3476 Å
α = 90.00°, β = 90.00°, γ = 90.00°
Last column: nearest neighbours and their distance in Å.
Space group Pmc2_1 (No. 26)
Symmetry-distinct sites (fractional):
Ir 0.0000 0.1197 0.0000 [2 per cell]  2 N 1.97-2.03
Os 0.5000 0.2878 0.3890 [2 per cell]  2 O 1.93-2.13, 2 N 2.01
N 0.0000 0.1742 0.6260 [2 per cell]  2 Ir 1.97-2.03, 2 Os 2.01
O 0.5000 0.4283 0.0270 [2 per cell]  2 Os 1.93-2.13

Volume   93 Å³/cell
Energy relative to the lowest polymorph listed for this composition   0.11 eV/f.u.
DFT total energy   -8.105 eV/atom


2.
Below is GdEr2Cu4Sn2Ge2 after structural relaxation, with properties calculated at the GGA-PBE level.

a = 4.2674 Å, b = 6.9676 Å, c = 14.2675 Å
α = 90.00°, β = 90.00°, γ = 90.00°
Last column: nearest neighbours and their distance in Å.
Space group Immm (No. 71)
Symmetry-distinct sites (fractional):
Gd 0.0000 0.0000 0.0000 [2 per cell]  4 Sn 2.99, 2 Ge 3.10
Er 0.0000 0.5000 0.1356 [4 per cell]  6 Cu 2.98-3.10, 2 Ge 2.99, 4 Sn 3.20
Cu 0.0000 0.3122 0.3235 [8 per cell]  3 Ge 2.57-2.65, 1 Cu 2.62, 1 Sn 2.64
Sn 0.0000 0.1995 0.5000 [4 per cell]  2 Cu 2.64, 1 Sn 2.78
Ge 0.0000 0.0000 0.2173 [4 per cell]  6 Cu 2.57-2.65

Volume   424 Å³/cell
Energy relative to the lowest polymorph listed for this composition   0.73 eV/f.u.
DFT total energy   -4.693 eV/atom


3.
Below is LaLuAsO after structural relaxation, with properties calculated at the GGA-PBE level.

a = 4.1898 Å, b = 4.1898 Å, c = 9.4029 Å
α = 90.00°, β = 90.00°, γ = 90.00°
Last column: nearest neighbours and their distance in Å.
Space group P4/nmm (No. 129, origin choice 2)
Symmetry-distinct sites (fractional):
La 0.2500 0.7500 0.0000 [2 per cell]  4 La 2.96, 4 As 3.01
Lu 0.2500 0.2500 0.4088 [2 per cell]  4 O 2.26
As 0.2500 0.2500 0.7705 [2 per cell]  4 La 3.01, 4 O 3.29
O 0.2500 0.7500 0.5000 [2 per cell]  4 Lu 2.26

Volume   165 Å³/cell
Energy relative to the lowest polymorph listed for this composition   1.27 eV/f.u.
DFT total energy   -6.550 eV/atom


4.
Below is KSnAuSe3 after structural relaxation, with properties calculated at the GGA-PBE level.

a = 16.9872 Å, b = 4.2480 Å, c = 9.3329 Å
α = 90.00°, β = 102.52°, γ = 90.00°
Last column: nearest neighbours and their distance in Å.
Space group C2/m (No. 12)
Symmetry-distinct sites (fractional):
K 0.1440 0.0000 0.0589 [4 per cell]  7 Se 3.20-3.44
Sn 0.1696 0.0000 0.5750 [4 per cell]  6 Se 2.81-2.98
Au 0.0006 0.5000 0.7135 [4 per cell]  3 Se 2.55-2.68
Se 0.0000 0.0000 0.5000 [2 per cell]  2 Sn 2.81, 4 Au 2.91
Se 0.0000 0.5000 0.0000 [2 per cell]  2 Au 2.68
Se 0.1541 0.5000 0.7758 [4 per cell]  1 Au 2.55
Se 0.1562 0.5000 0.3477 [4 per cell]  1 Au 2.60, 1 Sn 2.89

Volume   657 Å³/cell
Energy relative to the lowest polymorph listed for this composition   0.43 eV/f.u.
DFT total energy   -3.587 eV/atom


5.
Below is B3Pt4 after structural relaxation, with properties calculated at the GGA-PBE level.

a = 9.6215 Å, b = 5.4786 Å, c = 6.7862 Å
α = 90.00°, β = 90.44°, γ = 90.00°
Last column: nearest neighbours and their distance in Å.
Space group C2/c (No. 15)
Symmetry-distinct sites (fractional):
B 0.0000 0.0591 0.2500 [4 per cell]  6 Pt 2.17-2.25
B 0.1622 0.4521 0.0514 [8 per cell]  5 Pt 2.12-2.25
Pt 0.0221 0.2507 0.5347 [8 per cell]  4 B 2.12-2.25
Pt 0.2218 0.1083 0.2116 [8 per cell]  4 B 2.13-2.25

Volume   358 Å³/cell
DFT total energy   -6.472 eV/atom


6.
Below is CsSmSO after structural relaxation, with properties calculated at the GGA-PBE level.

a = 8.2118 Å, b = 7.5437 Å, c = 6.8246 Å
α = 90.00°, β = 104.11°, γ = 90.00°
Last column: nearest neighbours and their distance in Å.
Space group P2_1/c (No. 14)
Symmetry-distinct sites (fractional):
Cs 0.0791 0.2400 0.0025 [4 per cell]  2 O 3.05-3.33, 1 S 3.37
Sm 0.4783 0.6284 0.2749 [4 per cell]  3 O 2.32-2.35
S 0.2705 0.5938 0.8560 [4 per cell]  3 Sm 2.84-2.96
O 0.4012 0.1447 0.8798 [4 per cell]  3 Sm 2.32-2.35

Volume   410 Å³/cell
Energy relative to the lowest polymorph listed for this composition   0.00 eV/f.u.
DFT total energy   -5.853 eV/atom


7.
Below is Tm2AgO4 after structural relaxation, with properties calculated at the GGA-PBE level.

a = 9.4245 Å, b = 9.4245 Å, c = 9.4245 Å
α = 90.00°, β = 90.00°, γ = 90.00°
Last column: nearest neighbours and their distance in Å.
Space group Fd-3m (No. 227, origin choice 2)
Symmetry-distinct sites (fractional):
Tm 0.0000 0.0000 0.0000 [16 per cell]  6 O 2.23
Ag 0.1250 0.1250 0.6250 [8 per cell]  4 O 2.28
O 0.0146 0.0146 0.2354 [32 per cell]  3 Tm 2.23, 1 Ag 2.28

Volume   837 Å³/cell
DFT total energy   -6.962 eV/atom


8.
Below is YTcOs2 after structural relaxation, with properties calculated at the GGA-PBE level.

a = 3.8001 Å, b = 3.8001 Å, c = 5.2941 Å
α = 90.00°, β = 90.00°, γ = 90.00°
Last column: nearest neighbours and their distance in Å.
Space group P4/mmm (No. 123)
Symmetry-distinct sites (fractional):
Y 0.0000 0.0000 0.0000 [1 per cell]  6 Os 2.65-2.69
Tc 0.5000 0.5000 0.5000 [1 per cell]  6 Os 2.65-2.69
Os 0.0000 0.0000 0.5000 [1 per cell]  2 Y 2.65, 4 Tc 2.69
Os 0.5000 0.5000 0.0000 [1 per cell]  2 Tc 2.65, 4 Y 2.69

Volume   76 Å³/cell
Energy relative to the lowest polymorph listed for this composition   2.92 eV/f.u.
DFT total energy   -8.653 eV/atom
DFT formation energy   1166 meV/atom


9.
Below is NaPaNO after structural relaxation, with properties calculated at the GGA-PBE level.

a = 3.9649 Å, b = 6.4469 Å, c = 5.7168 Å
α = 90.00°, β = 90.00°, γ = 90.00°
Last column: nearest neighbours and their distance in Å.
Space group Pmc2_1 (No. 26)
Symmetry-distinct sites (fractional):
Na 0.0000 0.1772 0.0000 [2 per cell]  2 O 2.31-2.36, 2 N 2.40
Pa 0.5000 0.3163 0.5022 [2 per cell]  2 N 2.18-2.21, 2 O 2.25
N 0.5000 0.3614 0.8856 [2 per cell]  2 Pa 2.18-2.21, 2 Na 2.40
O 0.0000 0.1726 0.4131 [2 per cell]  2 Pa 2.25, 2 Na 2.31-2.36

Volume   146 Å³/cell
Energy relative to the lowest polymorph listed for this composition   0.18 eV/f.u.
DFT total energy   -7.246 eV/atom


10.
Below is Ba3NaPd8 after structural relaxation, with properties calculated at the GGA-PBE level.

a = 5.6594 Å, b = 5.6594 Å, c = 27.7670 Å
α = 90.00°, β = 90.00°, γ = 120.00°
Last column: nearest neighbours and their distance in Å.
Space group R3m (No. 160, hexagonal axes)
Symmetry-distinct sites (fractional):
Ba 0.0000 0.0000 0.0000 [3 per cell]  12 Pd 3.20-3.37, 3 Na 3.40, 1 Ba 3.55
Ba 0.0000 0.0000 0.1278 [3 per cell]  12 Pd 3.31-3.37, 4 Ba 3.54-3.55
Ba 0.0000 0.0000 0.5100 [3 per cell]  12 Pd 3.25-3.49, 1 Na 3.39, 3 Ba 3.54
Na 0.0000 0.0000 0.6322 [3 per cell]  12 Pd 3.23-3.35, 4 Ba 3.39-3.40
Pd 0.0000 0.0000 0.3165 [3 per cell]  6 Pd 2.80-2.82
Pd 0.0000 0.0000 0.8168 [3 per cell]  6 Pd 2.85
Pd 0.9997 0.4999 0.0658 [9 per cell]  6 Pd 2.82-2.85
Pd 0.1673 0.3347 0.9009 [9 per cell]  6 Pd 2.80-2.85

Volume   770 Å³/cell
DFT total energy   -4.544 eV/atom


11.
Below is NaPtNO after structural relaxation, with properties calculated at the GGA-PBE level.

a = 3.4328 Å, b = 3.4328 Å, c = 7.8037 Å
α = 90.00°, β = 90.00°, γ = 90.00°
Last column: nearest neighbours and their distance in Å.
Space group P4/nmm (No. 129, origin choice 2)
Symmetry-distinct sites (fractional):
Na 0.2500 0.7500 0.0000 [2 per cell]  4 N 2.39, 4 Na 2.43
Pt 0.2500 0.2500 0.3329 [2 per cell]  4 O 2.16
N 0.2500 0.2500 0.7873 [2 per cell]  4 Na 2.39, 4 Pt 2.60
O 0.2500 0.7500 0.5000 [2 per cell]  4 Pt 2.16

Volume   92 Å³/cell
Energy relative to the lowest polymorph listed for this composition   3.86 eV/f.u.
DFT total energy   -4.144 eV/atom


12.
Below is PrTlCd after structural relaxation, with properties calculated at the GGA-PBE level.

a = 4.9848 Å, b = 4.9848 Å, c = 7.7390 Å
α = 90.00°, β = 90.00°, γ = 120.00°
Last column: nearest neighbours and their distance in Å.
Space group P6_3mc (No. 186)
Symmetry-distinct sites (fractional):
Pr 0.0000 0.0000 0.0000 [2 per cell]  6 Cd 3.31-3.65, 6 Tl 3.32-3.64
Tl 0.3333 0.6667 0.2127 [2 per cell]  4 Cd 2.94-3.27
Cd 0.3333 0.6667 0.7897 [2 per cell]  4 Tl 2.94-3.27

Volume   167 Å³/cell
DFT total energy   -3.059 eV/atom